# GGA+U CoSiO3, relaxed
# E_tot: -572.795 eV/cell
# crystal system: orthorhombic
# M_tot: 48.047 Bohr magnetons per cell
data_CoSiO3
_chemical_formula_sum 'Co16 Si16 O48'
_cell_length_a 5.285
_cell_length_b 18.528
_cell_length_c 9.035
_cell_angle_alpha 90.00
_cell_angle_beta 90.00
_cell_angle_gamma 90.00
_symmetry_space_group_name_H-M 'P 1'
_symmetry_Int_Tables_number 1
loop_
_symmetry_equiv_pos_as_xyz
'x,y,z'
loop_
_atom_site_label
_atom_site_fract_x
_atom_site_fract_y
_atom_site_fract_z
Co1 0.117 0.124 0.154
Co2 0.117 0.376 0.654
Co3 0.123 0.125 0.508
Co4 0.123 0.375 0.008
Co5 0.377 0.625 0.508
Co6 0.377 0.875 0.008
Co7 0.383 0.624 0.154
Co8 0.383 0.876 0.654
Co9 0.617 0.124 0.346
Co10 0.617 0.376 0.846
Co11 0.623 0.125 0.992
Co12 0.623 0.375 0.492
Co13 0.877 0.625 0.992
Co14 0.877 0.875 0.492
Co15 0.883 0.624 0.346
Co16 0.883 0.876 0.846
Si1 0.065 0.727 0.660
Si2 0.065 0.773 0.160
Si3 0.216 0.026 0.836
Si4 0.216 0.474 0.336
Si5 0.284 0.526 0.836
Si6 0.284 0.974 0.336
Si7 0.435 0.227 0.660
Si8 0.435 0.273 0.160
Si9 0.565 0.727 0.840
Si10 0.565 0.773 0.340
Si11 0.716 0.026 0.664
Si12 0.716 0.474 0.164
Si13 0.784 0.526 0.664
Si14 0.784 0.974 0.164
Si15 0.935 0.227 0.840
Si16 0.935 0.273 0.340
O1 0.052 0.685 0.161
O2 0.052 0.815 0.661
O3 0.066 0.689 0.499
O4 0.066 0.811 0.999
O5 0.080 0.551 0.704
O6 0.080 0.949 0.204
O7 0.161 0.197 0.728
O8 0.161 0.303 0.228
O9 0.194 0.567 0.985
O10 0.194 0.933 0.485
O11 0.216 0.563 0.340
O12 0.216 0.937 0.840
O13 0.284 0.063 0.340
O14 0.284 0.437 0.840
O15 0.306 0.067 0.985
O16 0.306 0.433 0.485
O17 0.339 0.697 0.728
O18 0.339 0.803 0.228
O19 0.420 0.051 0.704
O20 0.420 0.449 0.204
O21 0.434 0.189 0.499
O22 0.434 0.311 0.999
O23 0.448 0.185 0.161
O24 0.448 0.315 0.661
O25 0.552 0.685 0.339
O26 0.552 0.815 0.839
O27 0.566 0.689 0.001
O28 0.566 0.811 0.501
O29 0.580 0.551 0.796
O30 0.580 0.949 0.296
O31 0.661 0.197 0.772
O32 0.661 0.303 0.272
O33 0.694 0.567 0.515
O34 0.694 0.933 0.015
O35 0.716 0.563 0.160
O36 0.716 0.937 0.660
O37 0.784 0.063 0.160
O38 0.784 0.437 0.660
O39 0.806 0.067 0.515
O40 0.806 0.433 0.015
O41 0.839 0.697 0.772
O42 0.839 0.803 0.272
O43 0.920 0.051 0.796
O44 0.920 0.449 0.296
O45 0.934 0.189 0.001
O46 0.934 0.311 0.501
O47 0.948 0.185 0.339
O48 0.948 0.315 0.839